1.
## UBiPb2 (PBE-GGA)

Data for a relaxed UBiPb2 crystal.

a = 5.0833 Å, b = 4.7365 Å, c = 4.7365 Å
α = 90.00°, β = 90.00°, γ = 90.00°
With the nearest neighbours (Å) after each atom.
Fractional coordinates of all 4 atoms:
U 0.5000 0.5000 0.5000  4 Bi 3.35, 8 Pb 3.47
Bi 0.5000 0.0000 0.0000  4 U 3.35, 8 Pb 3.47
Pb 0.0000 0.5000 0.0000  4 Pb 3.35, 4 Bi 3.47, 4 U 3.47
Pb 0.0000 0.0000 0.5000  4 Pb 3.35, 4 Bi 3.47, 4 U 3.47

Properties
Total magnetic moment in μB/f.u.: 2.5
Volume in Å³ per atom: 28.51

---

2.
## UBi2Pb (PBE-GGA)

Data for a relaxed UBi2Pb crystal.

a = 4.3276 Å, b = 5.1867 Å, c = 5.1867 Å
α = 90.00°, β = 90.00°, γ = 90.00°
With the nearest neighbours (Å) after each atom.
Fractional coordinates of all 4 atoms:
Bi 0.0000 0.5000 0.0000  4 Pb 3.38, 4 U 3.38, 4 Bi 3.67
Bi 0.0000 0.0000 0.5000  4 U 3.38, 4 Pb 3.38, 4 Bi 3.67
U 0.5000 0.5000 0.5000  8 Bi 3.38, 4 Pb 3.67
Pb 0.5000 0.0000 0.0000  8 Bi 3.38, 4 U 3.67

Properties
Total magnetic moment in μB/f.u.: 2.3
Volume in Å³ per atom: 29.10

---

3.
## UBi2Pb (PBE-GGA)

Data for a relaxed UBi2Pb crystal.

a = 4.4887 Å, b = 4.4887 Å, c = 8.2823 Å
α = 74.28°, β = 74.28°, γ = 60.00°
With the nearest neighbours (Å) after each atom.
Fractional coordinates of all 4 atoms:
Bi 0.7444 0.7444 0.7669  3 U 3.17, 3 Pb 3.34
Bi 0.2556 0.2556 0.2331  3 U 3.17, 3 Pb 3.34
Pb 0.5000 0.5000 0.5000  6 Bi 3.34
U 0.0000 0.0000 0.0000  6 Bi 3.17

Properties
Total magnetic moment in μB/f.u.: 2.0
Volume in Å³ per atom: 34.32

---

4.
## UBiPb2 (PBE-GGA)

Data for a relaxed UBiPb2 crystal.

a = 3.3498 Å, b = 3.3498 Å, c = 12.2729 Å
α = 82.16°, β = 82.16°, γ = 60.00°
With the nearest neighbours (Å) after each atom.
Fractional coordinates of all 4 atoms:
Pb 0.0889 0.0889 0.7332  1 Bi 3.23, 6 Pb 3.35, 3 U 3.42
Pb 0.9111 0.9111 0.2668  1 Bi 3.23, 6 Pb 3.35, 3 U 3.42
Bi 0.0000 0.0000 0.0000  2 Pb 3.23, 6 Bi 3.35
U 0.5000 0.5000 0.5000  6 U 3.35, 6 Pb 3.42

Properties
Total magnetic moment in μB/f.u.: 2.7
Volume in Å³ per atom: 29.44

---

5.
## VBiPb2 (PBE-GGA)

Data for a relaxed VBiPb2 crystal.

a = 4.4719 Å, b = 4.4719 Å, c = 11.7788 Å
α = 79.06°, β = 79.06°, γ = 90.00°
With the nearest neighbours (Å) after each atom.
Fractional coordinates of all 8 atoms:
Pb 0.6194 0.1250 0.2500  4 Pb 3.13-3.20, 2 V 3.24, 2 Bi 3.26
Pb 0.8750 0.8694 0.7500  4 Pb 3.13-3.20, 2 V 3.24, 2 Bi 3.26
Pb 0.3750 0.3806 0.7500  4 Pb 3.13-3.20, 2 V 3.24, 2 Bi 3.26
Pb 0.1306 0.6250 0.2500  4 Pb 3.13-3.20, 2 V 3.24, 2 Bi 3.26
V 0.5000 0.5000 0.0000  4 Bi 3.16, 4 Pb 3.24
V 0.2500 0.7500 0.5000  4 Bi 3.16, 4 Pb 3.24
Bi 0.7500 0.2500 0.5000  4 V 3.16, 4 Pb 3.26
Bi 0.0000 0.0000 0.0000  4 V 3.16, 4 Pb 3.26

Properties
Total magnetic moment in μB/f.u.: 3.0
Volume in Å³ per atom: 28.36

---

6.
## VBiPb2 (PBE-GGA)

Data for a relaxed VBiPb2 crystal.

a = 3.3770 Å, b = 3.3770 Å, c = 12.0144 Å
α = 81.92°, β = 81.92°, γ = 60.00°
With the nearest neighbours (Å) after each atom.
Fractional coordinates of all 4 atoms:
Pb 0.0808 0.0808 0.7575  1 V 2.87
Pb 0.9192 0.9192 0.2425  1 V 2.87
V 0.0000 0.0000 0.0000  2 Pb 2.87
Bi 0.5000 0.5000 0.5000  6 Bi 3.38, 6 Pb 3.62

Properties
Total magnetic moment in μB/f.u.: 3.5
Volume in Å³ per atom: 29.27

---

7.
## V2BiPb (PBE-GGA)

Data for a relaxed V2BiPb crystal.

a = 4.8032 Å, b = 4.8032 Å, c = 4.8032 Å
α = 60.00°, β = 60.00°, γ = 60.00°
With the nearest neighbours (Å) after each atom.
Fractional coordinates of all 4 atoms:
Pb 0.0000 0.0000 0.0000  8 V 2.94
V 0.2500 0.2500 0.2500  4 Bi 2.94, 4 Pb 2.94
V 0.7500 0.7500 0.7500  4 Bi 2.94, 4 Pb 2.94
Bi 0.5000 0.5000 0.5000  8 V 2.94

Properties
Total magnetic moment in μB/f.u.: 0.0
Volume in Å³ per atom: 19.59

---

8.
## V2BiPb2 (PBE-GGA)

Data for a relaxed V2BiPb2 crystal.

a = 3.3744 Å, b = 3.3744 Å, c = 11.1002 Å
α = 81.26°, β = 81.26°, γ = 90.00°
With the nearest neighbours (Å) after each atom.
Fractional coordinates of all 5 atoms:
Pb 0.3683 0.3683 0.2634  4 V 3.07, 4 Pb 3.37
Pb 0.6317 0.6317 0.7366  4 V 3.07, 4 Pb 3.37
Bi 0.0000 0.0000 0.0000  4 Bi 3.37, 8 Pb 3.72
V 0.7500 0.2500 0.5000  4 V 2.39
V 0.2500 0.7500 0.5000  4 V 2.39

Properties
Total magnetic moment in μB/f.u.: 0.0
Volume in Å³ per atom: 24.69

---

9.
## VBi3Pb (PBE-GGA)

Data for a relaxed VBi3Pb crystal.

a = 5.3664 Å, b = 5.3664 Å, c = 5.3664 Å
α = 90.00°, β = 90.00°, γ = 90.00°
With the nearest neighbours (Å) after each atom.
Fractional coordinates of all 5 atoms:
V 0.0000 0.0000 0.0000  6 Bi 2.68
Pb 0.5000 0.5000 0.5000  12 Bi 3.79
Bi 0.0000 0.0000 0.5000  2 V 2.68
Bi 0.5000 0.0000 0.0000  2 V 2.68
Bi 0.0000 0.5000 0.0000  2 V 2.68

Properties
Total magnetic moment in μB/f.u.: 1.2
Volume in Å³ per atom: 30.91

---

10.
## VBiPb (PBE-GGA)

Data for a relaxed VBiPb crystal.

a = 5.6230 Å, b = 5.6230 Å, c = 5.7603 Å
α = 103.98°, β = 103.98°, γ = 120.33°
With the nearest neighbours (Å) after each atom.
Fractional coordinates of all 6 atoms:
Pb 0.6621 0.3379 0.0000  4 V 3.01, 3 Pb 3.16-3.28
Pb 0.3379 0.6621 0.0000  4 V 3.01, 3 Pb 3.16-3.28
Bi 0.8408 0.8408 0.6816  4 V 2.96, 1 Bi 3.21
Bi 0.1592 0.1592 0.3184  4 V 2.96, 1 Bi 3.21
V 0.2500 0.7500 0.5000  2 V 2.80, 4 Bi 2.96, 4 Pb 3.01
V 0.7500 0.2500 0.5000  2 V 2.80, 4 Bi 2.96, 4 Pb 3.01

Properties
Total magnetic moment in μB/f.u.: 0.4
Volume in Å³ per atom: 22.90

---

11.
## V2BiPb2 (PBE-GGA)

Data for a relaxed V2BiPb2 crystal.

a = 8.7423 Å, b = 8.7423 Å, c = 3.2643 Å
α = 90.00°, β = 90.00°, γ = 90.00°
With the nearest neighbours (Å) after each atom.
Fractional coordinates of all 10 atoms:
Pb 0.8039 0.6961 0.0000  6 V 3.08-3.24, 2 Bi 3.16, 2 Pb 3.26
Pb 0.1961 0.3039 0.0000  6 V 3.08-3.24, 2 Bi 3.16, 2 Pb 3.26
Pb 0.6961 0.1961 0.0000  6 V 3.08-3.24, 2 Bi 3.16, 2 Pb 3.26
Pb 0.3039 0.8039 0.0000  6 V 3.08-3.24, 2 Bi 3.16, 2 Pb 3.26
Bi 0.5000 0.5000 0.0000  4 Pb 3.16, 2 Bi 3.26
Bi 0.0000 0.0000 0.0000  4 Pb 3.16, 2 Bi 3.26
V 0.5777 0.9223 0.5000  1 V 1.92
V 0.0777 0.5777 0.5000  1 V 1.92
V 0.9223 0.4223 0.5000  1 V 1.92
V 0.4223 0.0777 0.5000  1 V 1.92

Properties
Total magnetic moment in μB/f.u.: 0.0
Volume in Å³ per atom: 24.95

---

12.
## V2BiPb (PBE-GGA)

Data for a relaxed V2BiPb crystal.

a = 7.6726 Å, b = 7.6726 Å, c = 6.3041 Å
α = 52.52°, β = 52.52°, γ = 90.00°
With the nearest neighbours (Å) after each atom.
Fractional coordinates of all 8 atoms:
V 0.1225 0.6250 0.2500  2 Bi 2.82, 2 Pb 2.84
V 0.3750 0.3725 0.7500  2 Bi 2.82, 2 Pb 2.84
V 0.6275 0.1250 0.2500  2 Bi 2.82, 2 Pb 2.84
V 0.8750 0.8775 0.7500  2 Bi 2.82, 2 Pb 2.84
Bi 0.0000 0.0000 0.0000  4 V 2.82
Bi 0.7500 0.2500 0.5000  4 V 2.82
Pb 0.2500 0.7500 0.5000  4 V 2.84
Pb 0.5000 0.5000 0.0000  4 V 2.84

Properties
Total magnetic moment in μB/f.u.: 4.8
Volume in Å³ per atom: 23.62

---

13.
## V2BiPbW (PBE-GGA)

Data for a relaxed V2BiPbW crystal.

a = 5.0075 Å, b = 5.7792 Å, c = 5.0075 Å
α = 90.00°, β = 90.00°, γ = 90.00°
With the nearest neighbours (Å) after each atom.
Fractional coordinates of all 5 atoms:
W 0.5000 0.5000 0.5000  4 Pb 3.54, 8 V 3.82
Pb 0.0000 0.5000 0.0000  2 Bi 2.89
V 0.0000 0.0000 0.5000  2 Bi 2.50
V 0.5000 0.0000 0.0000  2 Bi 2.50
Bi 0.0000 0.0000 0.0000  4 V 2.50

Properties
Total magnetic moment in μB/f.u.: 6.7
Volume in Å³ per atom: 28.98

---

14.
## Bi2PbW (PBE-GGA)

Data for a relaxed Bi2PbW crystal.

a = 6.8090 Å, b = 6.8090 Å, c = 8.2986 Å
α = 65.78°, β = 65.78°, γ = 90.00°
With the nearest neighbours (Å) after each atom.
Fractional coordinates of all 8 atoms:
W 0.2500 0.7500 0.5000  4 Bi 2.74
W 0.5000 0.5000 0.0000  4 Bi 2.74
Bi 0.8750 0.8200 0.7500  2 W 2.74
Bi 0.3750 0.4300 0.7500  2 W 2.74
Bi 0.1800 0.6250 0.2500  2 W 2.74
Bi 0.5700 0.1250 0.2500  2 W 2.74
Pb 0.7500 0.2500 0.5000  4 Bi 3.17
Pb 0.0000 0.0000 0.0000  4 Bi 3.17

Properties
Total magnetic moment in μB/f.u.: 2.0
Volume in Å³ per atom: 39.17

---

| no. | formation energy (eV per atom) |
| --- | --- |
| 1 | 0.11 |
| 2 | 0.07 |
| 3 | 0.17 |
| 4 | 0.23 |
| 5 | 0.48 |
| 6 | 0.66 |
| 7 | 0.62 |
| 8 | 0.48 |
| 9 | 0.36 |
| 10 | 0.24 |
| 11 | 0.60 |
| 12 | 0.83 |
| 13 | 2.43 |
| 14 | 1.01 |